InPb2Br5: optimized geometry, PBE.

Computed properties:
Raw formation energy in eV per atom: -0.84
Total moment in μB/cell: 0.0
Volume in A^3/atom: 40.7

a b c (Å): 8.2092 11.1455 15.3150
angles (deg): 111.77 90.00 90.00
Fractional coordinates of all 32 atoms:
1 In 0.5000 0.0000 0.5000
2 In 0.0000 0.0000 0.0000
3 In 0.5000 0.5000 0.5000
4 In 0.0000 0.5000 0.0000
5 Pb 0.4972 0.0828 0.8777
6 Pb 0.0028 0.0828 0.3777
7 Pb 0.0030 0.4172 0.6223
8 Pb 0.4970 0.4172 0.1223
9 Pb 0.5030 0.5828 0.8777
10 Pb 0.9970 0.5828 0.3777
11 Pb 0.9972 0.9172 0.6223
12 Pb 0.5028 0.9172 0.1223
13 Br 0.3247 0.0393 0.7006
14 Br 0.8512 0.1490 0.5863
15 Br 0.1753 0.0393 0.2006
16 Br 0.6488 0.3510 0.9137
17 Br 0.2750 0.2500 0.5000
18 Br 0.6488 0.1490 0.0863
19 Br 0.1753 0.4604 0.7993
20 Br 0.8512 0.3510 0.4137
21 Br 0.2250 0.2500 0.0000
22 Br 0.6753 0.5396 0.7007
23 Br 0.3247 0.4604 0.2993
24 Br 0.7750 0.7500 0.0000
25 Br 0.1488 0.6490 0.5863
26 Br 0.8247 0.5396 0.2007
27 Br 0.3512 0.8510 0.9137
28 Br 0.7250 0.7500 0.5000
29 Br 0.3512 0.6490 0.0863
30 Br 0.8247 0.9607 0.7994
31 Br 0.1488 0.8510 0.4137
32 Br 0.6753 0.9607 0.2994

LiOsF3: optimized geometry, PBE.

Computed properties:
Raw formation energy in eV per atom: -0.97
Energy above the most stable polymorph in this dataset in eV/atom: 0.000
Total moment in μB/cell: 0.0
Volume in A^3/atom: 14.9

a b c (Å): 4.2085 4.2085 4.2085
angles (deg): 90.00 90.00 90.00
Fractional coordinates of all 5 atoms:
1 F 0.0000 0.5000 0.0000
2 F 0.0000 0.0000 0.5000
3 F 0.5000 0.0000 0.0000
4 Os 0.0000 0.0000 0.0000
5 Li 0.5000 0.5000 0.5000

ZrV3Sb: optimized geometry, PBE.

Computed properties:
Raw formation energy in eV per atom: 1.45
Energy above the most stable polymorph in this dataset in eV/atom: 0.247
Total moment in μB/cell: 0.0
Volume in A^3/atom: 20.5

a b c (Å): 4.6818 4.6818 4.6818
angles (deg): 90.00 90.00 90.00
Fractional coordinates of all 5 atoms:
1 Sb 0.5000 0.5000 0.5000
2 Zr 0.0000 0.0000 0.0000
3 V 0.0000 0.5000 0.0000
4 V 0.0000 0.0000 0.5000
5 V 0.5000 0.0000 0.0000

AcCeN: optimized geometry, PBE.

Computed properties:
Raw formation energy in eV per atom: -0.17
Energy above the most stable polymorph in this dataset in eV/atom: 0.569
Total moment in μB/cell: 0.6
Volume in A^3/atom: 21.7

a b c (Å): 4.5183 4.5183 4.5183
angles (deg): 60.00 60.00 60.00
Fractional coordinates of all 3 atoms:
1 Ac 0.5000 0.5000 0.5000
2 Ce 0.0000 0.0000 0.0000
3 N 0.2500 0.2500 0.2500

ThZnPt: optimized geometry, PBE.

Computed properties:
Total moment in μB/cell: 0.0
Energy relative to the elements in eV per atom: -0.74
Volume in A^3/atom: 24.6

a b c (Å): 4.7062 4.7062 4.7062
angles (deg): 60.00 60.00 60.00
Fractional coordinates of all 3 atoms:
1 Zn 0.0000 0.0000 0.0000
2 Pt 0.2500 0.2500 0.2500
3 Th 0.5000 0.5000 0.5000

PmEr2CuS5: optimized geometry, PBE.

Computed properties:
Raw formation energy in eV per atom: -1.67
Total moment in μB/cell: 0.0
Volume in A^3/atom: 21.1

a b c (Å): 3.7926 9.2705 11.0186
angles (deg): 90.00 90.00 101.80
Fractional coordinates of all 18 atoms:
1 Pm 0.8037 0.6073 0.5085
2 Pm 0.1963 0.3927 0.0085
3 Er 0.8902 0.7804 0.8081
4 Er 0.0892 0.1784 0.6823
5 Er 0.1098 0.2196 0.3081
6 Er 0.9108 0.8216 0.1823
7 Cu 0.5635 0.1271 0.9522
8 Cu 0.4365 0.8729 0.4522
9 S 0.3603 0.7205 0.0049
10 S 0.6689 0.3377 0.8283
11 S 0.4956 0.9912 0.7805
12 S 0.3027 0.6054 0.6952
13 S 0.9531 0.9063 0.5637
14 S 0.6397 0.2795 0.5049
15 S 0.3311 0.6623 0.3283
16 S 0.5044 0.0088 0.2805
17 S 0.6973 0.3946 0.1952
18 S 0.0469 0.0937 0.0637

La2Dy2Ni15: optimized geometry, PBE.

Computed properties:
Total moment in μB/cell: 1.5
Energy relative to the elements in eV per atom: -0.21
Volume in A^3/atom: 14.4

a b c (Å): 6.5399 6.5399 6.5399
angles (deg): 82.45 82.45 82.45
Fractional coordinates of all 19 atoms:
1 La 0.3585 0.3585 0.3585
2 La 0.6415 0.6415 0.6415
3 Dy 0.1111 0.1111 0.1111
4 Dy 0.8889 0.8889 0.8889
5 Ni 0.5000 0.0000 0.0000
6 Ni 0.0000 0.0000 0.5000
7 Ni 0.0000 0.5000 0.0000
8 Ni 0.0000 0.6952 0.3048
9 Ni 0.6952 0.3048 0.0000
10 Ni 0.3048 0.0000 0.6952
11 Ni 0.3048 0.6952 0.0000
12 Ni 0.6952 0.0000 0.3048
13 Ni 0.0000 0.3048 0.6952
14 Ni 0.1637 0.6531 0.6531
15 Ni 0.6531 0.6531 0.1637
16 Ni 0.6531 0.1637 0.6531
17 Ni 0.8363 0.3469 0.3469
18 Ni 0.3469 0.3469 0.8363
19 Ni 0.3469 0.8363 0.3469

TbLu2H: optimized geometry, PBE.

Computed properties:
Total moment in μB/cell: 0.0
Raw total energy in eV for the cell shown: -16.4
Volume in A^3/atom: 22.7

a b c (Å): 3.3005 3.3005 8.3367
angles (deg): 90.00 90.00 90.00
Fractional coordinates of all 4 atoms:
1 H 0.5000 0.5000 0.0000
2 Lu 0.0000 0.0000 0.8075
3 Lu 0.0000 0.0000 0.1925
4 Tb 0.5000 0.5000 0.5000